# Al2PPb | Alexandria via LeMat-Bulk | PBE | relaxed
data_Al2PPb
_chemical_formula_sum 'Al2 P1 Pb1'
_symmetry_space_group_name_H-M 'P 4/m m m'
_symmetry_Int_Tables_number 123
_symmetry_space_group_name_Hall '-P 4 2'
_cell_length_a 3.264
_cell_length_b 3.264
_cell_length_c 7.520
_cell_angle_alpha 90.00
_cell_angle_beta 90.00
_cell_angle_gamma 90.00
loop_
_atom_site_label
_atom_site_type_symbol
_atom_site_fract_x
_atom_site_fract_y
_atom_site_fract_z
Al1 Al 0.000 0.000 0.181
P1 P 0.500 0.500 0.000
Pb1 Pb 0.500 0.500 0.500
# Uncorrected energy, eV per cell: -16.150
# Total magnetization, μB/f.u.: 0.00

=====

# Al2PPb | Alexandria via LeMat-Bulk | PBE | relaxed
data_Al2PPb
_chemical_formula_sum 'Al4 P2 Pb2'
_symmetry_space_group_name_H-M 'C m m m'
_symmetry_Int_Tables_number 65
_symmetry_space_group_name_Hall '-C 2 2'
_cell_length_a 5.786
_cell_length_b 8.354
_cell_length_c 3.647
_cell_angle_alpha 90.00
_cell_angle_beta 90.00
_cell_angle_gamma 90.00
loop_
_atom_site_label
_atom_site_type_symbol
_atom_site_fract_x
_atom_site_fract_y
_atom_site_fract_z
Al1 Al 0.000 0.201 0.000
P1 P 0.000 0.000 0.500
Pb1 Pb 0.000 0.500 0.500
# Uncorrected energy, eV per cell: -32.654
# Total magnetization, μB/f.u.: 0.00

=====

# Al2PPb | Alexandria via LeMat-Bulk | PBE | relaxed
data_Al2PPb
_chemical_formula_sum 'Al8 P4 Pb4'
_symmetry_space_group_name_H-M 'I -4 2 d'
_symmetry_Int_Tables_number 122
_symmetry_space_group_name_Hall 'I -4 2bw'
_cell_length_a 6.073
_cell_length_b 6.073
_cell_length_c 11.370
_cell_angle_alpha 90.00
_cell_angle_beta 90.00
_cell_angle_gamma 90.00
loop_
_atom_site_label
_atom_site_type_symbol
_atom_site_fract_x
_atom_site_fract_y
_atom_site_fract_z
Al1 Al 0.197 0.250 0.125
P1 P 0.000 0.000 0.000
Pb1 Pb 0.000 0.000 0.500
# Uncorrected energy, eV per cell: -66.148
# Total magnetization, μB/f.u.: 0.00

=====

# Al3PPb | Alexandria via LeMat-Bulk | PBE | relaxed
data_Al3PPb
_chemical_formula_sum 'Al3 P1 Pb1'
_symmetry_space_group_name_H-M 'P m -3 m'
_symmetry_Int_Tables_number 221
_symmetry_space_group_name_Hall '-P 4 2 3'
_cell_length_a 5.274
_cell_length_b 5.274
_cell_length_c 5.274
_cell_angle_alpha 90.00
_cell_angle_beta 90.00
_cell_angle_gamma 90.00
loop_
_atom_site_label
_atom_site_type_symbol
_atom_site_fract_x
_atom_site_fract_y
_atom_site_fract_z
Al1 Al 0.000 0.000 0.500
P1 P 0.500 0.500 0.500
Pb1 Pb 0.000 0.000 0.000
# Uncorrected energy, eV per cell: -14.265
# Total magnetization, μB/f.u.: 0.00